A plane-wave DFT calculation with PBE was carried out for Hf2Ga2Tc after structural relaxation.

Symmetry: P4/mbm
VASP energy (eV per atom): -7.764
Crystal system: tetragonal
M_tot (Bohr magnetons per cell): 0.0

Cell: 6.832 6.832 3.715 Å, 90.00 90.00 90.00°
Element x y z (fractional)
Ga 0.628 0.128 0.000
Ga 0.128 0.372 0.000
Ga 0.872 0.628 0.000
Ga 0.372 0.872 0.000
Hf 0.324 0.176 0.500
Hf 0.824 0.324 0.500
Hf 0.176 0.676 0.500
Hf 0.676 0.824 0.500
Tc 0.000 0.000 0.000
Tc 0.500 0.500 0.000